1.
DFT (PBE) results for CeSnPdO after structural relaxation.

Structure (POSCAR):
```
CeSnPdO
1.0
-1.680 1.680 7.093
1.680 -1.680 7.093
1.680 1.680 -7.093
Ce Sn Pd O
1 1 1 1
direct
0.000 0.000 0.000
0.727 0.727 0.000
0.332 0.332 0.000
0.495 0.495 0.000
```

Output
Uncorrected formation energy: -1.452 eV per atom
Spin magnetization: 0.7 Bohr magnetons per cell

***

2.
DFT (PBE) results for SrCePdO4 after structural relaxation.

Structure (POSCAR):
```
SrCePdO4
1.0
-3.233 3.499 5.266
3.233 -3.499 5.266
3.233 3.499 -5.266
Sr Ce Pd O
2 2 2 8
direct
0.431 0.181 0.250
0.569 0.819 0.750
0.000 0.500 0.500
0.500 0.500 0.000
0.000 0.000 0.500
0.000 0.500 0.000
0.152 0.719 0.433
0.214 0.281 0.933
0.303 0.349 0.546
0.303 0.756 0.954
0.697 0.244 0.046
0.697 0.651 0.454
0.786 0.719 0.067
0.848 0.281 0.567
```

Output
Uncorrected formation energy: -2.296 eV per atom
Spin magnetization: 0.0 Bohr magnetons per cell

***

3.
DFT (PBE) results for Sr2CePdO6 after structural relaxation.

Structure (POSCAR):
```
Sr2CePdO6
1.0
5.863 0.000 0.000
0.000 5.911 0.000
-5.795 0.000 8.302
Sr Ce Pd O
4 2 2 12
direct
0.239 0.037 0.248
0.239 0.463 0.748
0.761 0.537 0.252
0.761 0.963 0.752
0.500 0.000 0.000
0.500 0.500 0.500
0.000 0.000 0.500
0.000 0.500 0.000
0.162 0.223 0.960
0.162 0.277 0.460
0.234 0.704 0.959
0.234 0.796 0.459
0.315 0.019 0.739
0.315 0.481 0.239
0.685 0.519 0.761
0.685 0.981 0.261
0.766 0.204 0.541
0.766 0.296 0.041
0.838 0.723 0.540
0.838 0.777 0.040
```

Output
Uncorrected formation energy: -2.329 eV per atom
Spin magnetization: 0.0 Bohr magnetons per cell

***

4.
DFT (PBE) results for Sr2CePdO5 after structural relaxation.

Structure (POSCAR):
```
Sr2CePdO5
1.0
6.478 0.000 0.000
0.000 6.478 0.000
0.000 0.000 6.110
Sr Ce Pd O
4 2 2 10
direct
0.163 0.337 0.000
0.337 0.837 0.000
0.663 0.163 0.000
0.837 0.663 0.000
0.000 0.000 0.500
0.500 0.500 0.500
0.000 0.500 0.500
0.500 0.000 0.500
0.000 0.000 0.000
0.167 0.667 0.292
0.167 0.667 0.708
0.333 0.167 0.292
0.333 0.167 0.708
0.500 0.500 0.000
0.667 0.833 0.292
0.667 0.833 0.708
0.833 0.333 0.292
0.833 0.333 0.708
```

Output
Uncorrected formation energy: -2.156 eV per atom
Spin magnetization: 0.2 Bohr magnetons per cell

***

5.
DFT (PBE) results for CeTe2PdO after structural relaxation.

Structure (POSCAR):
```
CeTe2PdO
1.0
3.991 0.000 0.000
0.000 3.991 0.000
0.000 0.000 14.340
Ce Te Pd O
2 4 2 2
direct
0.250 0.250 0.086
0.750 0.750 0.914
0.250 0.250 0.418
0.250 0.250 0.791
0.750 0.750 0.209
0.750 0.750 0.582
0.250 0.250 0.604
0.750 0.750 0.396
0.250 0.750 0.000
0.750 0.250 0.000
```

Output
Uncorrected formation energy: -1.613 eV per atom
Spin magnetization: 0.9 Bohr magnetons per cell

***

6.
DFT (PBE) results for CePmO after structural relaxation.

Structure (POSCAR):
```
CePmO
1.0
-1.680 1.680 6.637
1.680 -1.680 6.637
1.680 1.680 -6.637
Ce Pm O
1 1 1
direct
0.000 0.000 0.000
0.281 0.281 0.000
0.460 0.460 0.000
```

Output
Energy above the most stable polymorph in this dataset: 0.57 eV/f.u.
Uncorrected formation energy: -1.591 eV per atom
Spin magnetization: 1.1 Bohr magnetons per cell

***

7.
DFT (PBE) results for CePm2O5 after structural relaxation.

Structure (POSCAR):
```
CePm2O5
1.0
10.157 0.000 0.000
0.000 6.981 0.000
0.000 0.000 6.255
Ce Pm O
4 8 20
direct
0.005 0.250 0.050
0.495 0.750 0.550
0.505 0.250 0.450
0.995 0.750 0.950
0.174 0.002 0.514
0.174 0.498 0.514
0.326 0.502 0.014
0.326 0.998 0.014
0.674 0.002 0.986
0.674 0.498 0.986
0.826 0.502 0.486
0.826 0.998 0.486
0.003 0.250 0.453
0.100 0.525 0.151
0.100 0.975 0.151
0.190 0.250 0.828
0.212 0.750 0.808
0.288 0.250 0.308
0.310 0.750 0.328
0.400 0.025 0.651
0.400 0.475 0.651
0.497 0.750 0.953
0.503 0.250 0.047
0.600 0.525 0.349
0.600 0.975 0.349
0.690 0.250 0.672
0.712 0.750 0.692
0.788 0.250 0.192
0.810 0.750 0.172
0.900 0.025 0.849
0.900 0.475 0.849
0.997 0.750 0.547
```

Output
Uncorrected formation energy: -3.382 eV per atom
Spin magnetization: 0.0 Bohr magnetons per cell

***

8.
DFT (PBE) results for CePm3O after structural relaxation.

Structure (POSCAR):
```
CePm3O
1.0
5.049 0.000 0.000
0.000 5.049 0.000
0.000 0.000 5.049
Ce Pm O
1 3 1
direct
0.000 0.000 0.000
0.000 0.500 0.500
0.500 0.000 0.500
0.500 0.500 0.000
0.500 0.500 0.500
```

Output
Uncorrected formation energy: -1.006 eV per atom
Spin magnetization: 1.1 Bohr magnetons per cell

***

9.
DFT (PBE) results for CePm3O7 after structural relaxation.

Structure (POSCAR):
```
CePm3O7
1.0
3.877 -5.624 0.000
3.877 5.624 0.000
0.000 0.000 7.858
Ce Pm O
2 6 14
direct
0.000 0.000 0.000
0.000 0.000 0.500
0.005 0.467 0.248
0.467 0.005 0.752
0.496 0.496 0.500
0.504 0.504 0.000
0.533 0.995 0.252
0.995 0.533 0.748
0.097 0.345 0.530
0.099 0.346 0.966
0.100 0.900 0.750
0.345 0.097 0.470
0.346 0.099 0.034
0.368 0.632 0.250
0.370 0.630 0.750
0.630 0.370 0.250
0.632 0.368 0.750
0.654 0.901 0.534
0.655 0.903 0.970
0.900 0.100 0.250
0.901 0.654 0.466
0.903 0.655 0.030
```

Output
Uncorrected formation energy: -3.200 eV per atom
Spin magnetization: 2.1 Bohr magnetons per cell

***

10.
DFT (PBE) results for Ce5PmO6 after structural relaxation.

Structure (POSCAR):
```
Ce5PmO6
1.0
3.051 -5.286 0.000
3.051 5.286 0.000
-2.032 0.000 5.754
Ce Pm O
5 1 6
direct
0.000 0.000 0.000
0.167 0.833 0.500
0.333 0.667 0.000
0.667 0.333 0.000
0.833 0.167 0.500
0.500 0.500 0.500
0.085 0.417 0.252
0.251 0.251 0.749
0.417 0.085 0.252
0.583 0.915 0.748
0.749 0.749 0.251
0.915 0.583 0.748
```

Output
Uncorrected formation energy: -2.860 eV per atom
Spin magnetization: 0.0 Bohr magnetons per cell

***

11.
DFT (PBE) results for Ce2PmO after structural relaxation.

Structure (POSCAR):
```
Ce2PmO
1.0
1.795 1.036 8.856
-1.795 1.036 8.856
0.000 -2.072 8.856
Ce Pm O
2 1 1
direct
0.219 0.219 0.219
0.781 0.781 0.781
0.000 0.000 0.000
0.500 0.500 0.500
```

Output
Uncorrected formation energy: -1.242 eV per atom
Spin magnetization: 0.0 Bohr magnetons per cell

***

12.
DFT (PBE) results for CePm2O after structural relaxation.

Structure (POSCAR):
```
CePm2O
1.0
3.207 0.000 0.000
0.000 3.207 0.000
0.000 0.000 8.667
Ce Pm O
1 2 1
direct
0.000 0.000 0.000
0.500 0.500 0.320
0.500 0.500 0.680
0.000 0.000 0.500
```

Output
Energy above the most stable polymorph in this dataset: 1.24 eV/f.u.
Uncorrected formation energy: -0.802 eV per atom
Spin magnetization: 0.0 Bohr magnetons per cell

***

13.
DFT (PBE) results for CePmO after structural relaxation.

Structure (POSCAR):
```
CePmO
1.0
3.659 0.000 0.000
-1.830 3.169 0.000
0.000 0.000 5.948
Ce Pm O
1 1 1
direct
0.000 0.000 0.000
0.333 0.667 0.454
0.667 0.333 0.210
```

Output
Energy above the most stable polymorph in this dataset: 0.32 eV/f.u.
Uncorrected formation energy: -1.676 eV per atom
Spin magnetization: 0.9 Bohr magnetons per cell

***

14.
DFT (PBE) results for CePm2O6 after structural relaxation.

Structure (POSCAR):
```
CePm2O6
1.0
-2.036 2.611 6.073
2.036 -2.611 6.073
2.036 2.611 -6.073
Ce Pm O
1 2 6
direct
0.000 0.000 0.000
0.334 0.334 0.000
0.666 0.666 0.000
0.084 0.838 0.246
0.242 0.500 0.742
0.407 0.162 0.246
0.593 0.838 0.754
0.758 0.500 0.258
0.916 0.162 0.754
```

Output
Uncorrected formation energy: -2.904 eV per atom
Spin magnetization: 2.0 Bohr magnetons per cell

***

15.
DFT (PBE) results for Ce3PmO4 after structural relaxation.

Structure (POSCAR):
```
Ce3PmO4
1.0
4.982 0.000 0.000
0.000 4.982 0.000
0.000 0.000 4.982
Ce Pm O
3 1 4
direct
0.000 0.000 0.500
0.000 0.500 0.000
0.500 0.000 0.000
0.500 0.500 0.500
0.000 0.000 0.000
0.000 0.500 0.500
0.500 0.000 0.500
0.500 0.500 0.000
```

Output
Uncorrected formation energy: -2.856 eV per atom
Spin magnetization: 0.0 Bohr magnetons per cell

***

16.
DFT (PBE) results for CePmO3 after structural relaxation.

Structure (POSCAR):
```
CePmO3
1.0
6.185 0.000 0.000
-3.092 5.356 0.000
0.000 0.000 3.175
Ce Pm O
1 1 3
direct
0.000 0.000 0.000
0.333 0.667 0.000
0.166 0.331 0.500
0.166 0.834 0.500
0.669 0.834 0.500
```

Output
Uncorrected formation energy: -3.181 eV per atom
Spin magnetization: 0.7 Bohr magnetons per cell

***

17.
DFT (PBE) results for Ce2Pm2O7 after structural relaxation.

Structure (POSCAR):
```
Ce2Pm2O7
1.0
0.000 5.536 5.536
5.536 0.000 5.536
5.536 5.536 0.000
Ce Pm O
4 4 14
direct
0.000 0.000 0.000
0.000 0.000 0.500
0.000 0.500 0.000
0.500 0.000 0.000
0.000 0.500 0.500
0.500 0.000 0.500
0.500 0.500 0.000
0.500 0.500 0.500
0.099 0.099 0.651
0.099 0.651 0.099
0.099 0.651 0.651
0.349 0.349 0.901
0.349 0.901 0.349
0.349 0.901 0.901
0.375 0.375 0.375
0.625 0.625 0.625
0.651 0.099 0.099
0.651 0.099 0.651
0.651 0.651 0.099
0.901 0.349 0.349
0.901 0.349 0.901
0.901 0.901 0.349
```

Output
Uncorrected formation energy: -3.374 eV per atom
Spin magnetization: 0.0 Bohr magnetons per cell

***

18.
DFT (PBE) results for CePmO after structural relaxation.

Structure (POSCAR):
```
CePmO
1.0
3.519 0.000 0.000
0.000 3.519 0.000
0.000 0.000 5.031
Ce Pm O
1 1 1
direct
0.000 0.000 0.000
0.500 0.500 0.500
0.000 0.000 0.500
```

Output
Energy above the most stable polymorph in this dataset: 0.00 eV/f.u.
Uncorrected formation energy: -1.782 eV per atom
Spin magnetization: 0.9 Bohr magnetons per cell

***

19.
DFT (PBE) results for CePm2O after structural relaxation.

Structure (POSCAR):
```
CePm2O
1.0
1.758 1.015 9.521
-1.758 1.015 9.521
0.000 -2.030 9.521
Ce Pm O
1 2 1
direct
0.000 0.000 0.000
0.117 0.117 0.117
0.883 0.883 0.883
0.500 0.500 0.500
```

Output
Energy above the most stable polymorph in this dataset: 0.00 eV/f.u.
Uncorrected formation energy: -1.112 eV per atom
Spin magnetization: 1.1 Bohr magnetons per cell

***

20.
DFT (PBE) results for Ce6PmO12 after structural relaxation.

Structure (POSCAR):
```
Ce6PmO12
1.0
5.190 2.996 3.186
-5.190 2.996 3.186
0.000 -5.993 3.186
Ce Pm O
6 1 12
direct
0.101 0.799 0.637
0.201 0.363 0.899
0.363 0.899 0.201
0.637 0.101 0.799
0.799 0.637 0.101
0.899 0.201 0.363
0.500 0.500 0.500
0.068 0.920 0.322
0.080 0.678 0.932
0.174 0.428 0.575
0.322 0.068 0.920
0.425 0.826 0.572
0.428 0.575 0.174
0.572 0.425 0.826
0.575 0.174 0.428
0.678 0.932 0.080
0.826 0.572 0.425
0.920 0.322 0.068
0.932 0.080 0.678
```

Output
Uncorrected formation energy: -3.461 eV per atom
Spin magnetization: 3.2 Bohr magnetons per cell

***

21.
DFT (PBE) results for CePmPtO6 after structural relaxation.

Structure (POSCAR):
```
CePmPtO6
1.0
5.560 0.000 0.000
-2.780 4.815 0.000
0.000 0.000 9.942
Ce Pm Pt O
2 2 2 12
direct
0.333 0.667 0.250
0.667 0.333 0.750
0.000 0.000 0.000
0.000 0.000 0.500
0.333 0.667 0.750
0.667 0.333 0.250
0.034 0.367 0.636
0.034 0.667 0.864
0.333 0.367 0.864
0.333 0.966 0.636
0.367 0.034 0.136
0.367 0.333 0.364
0.633 0.667 0.636
0.633 0.966 0.864
0.667 0.034 0.364
0.667 0.633 0.136
0.966 0.333 0.136
0.966 0.633 0.364
```

Output
Uncorrected formation energy: -2.167 eV per atom
Spin magnetization: 0.5 Bohr magnetons per cell

***

Calculated volume per entry: 80.1 238.2 287.7 256.4 228.4 75.0 443.5 128.7 342.6 185.6 98.8 89.1 69.0 129.1 123.7 105.2 339.4 62.3 101.9 297.3 266.2 Å³ per cell